Record 1
Computed, not measured: a geometry-optimized LaHoTm2 structure at the GGA-PBE level of DFT.

Output
For the energy relative to the lowest polymorph listed for this composition, the calculation gives 0.015 eV per atom. As for the crystal system: trigonal. As for the total magnetic moment: 0.00 μB per formula unit. The formation energy comes out at 0.028 eV/atom.

Cell lengths 3.568, 3.568, 11.725 Å; angles 81.25, 81.25, 60.00 degrees
Atoms (fractional coordinates):
1 La 0.500 0.500 0.500
2 Tm 0.252 0.252 0.244
3 Ho 0.000 0.000 0.000
4 Tm 0.748 0.748 0.756



Record 2
Computed, not measured: a geometry-optimized ZrAl2Cl structure at the GGA-PBE level of DFT.

Output
The uncorrected formation energy comes out at -0.4362 eV per atom. For the energy relative to the lowest polymorph listed for this composition, the calculation gives 0.000 eV per atom. As for the crystal system: tetragonal. As for the total magnetic moment: 0.00 μB per formula unit.

Cell lengths 3.110, 3.110, 9.105 Å; angles 90.00, 90.00, 90.00 degrees
Atoms (fractional coordinates):
1 Zr 0.500 0.500 0.766
2 Al 0.000 0.000 0.978
3 Cl 0.000 0.000 0.579
4 Al 0.500 0.500 0.177



Looking at total energy for the records above, in order, we have -4.584, -4.906 eV/atom.